A geometry-optimized K2MnCd2O4 structure, computed with PBE+U.

## Properties
* uncorrected energy: -41.76 eV/cell
* space group: C2/m
* N(E_F): 1.35 states/eV/f.u.

Unit cell a=6.448 b=6.448 c=8.879 alpha=119.20 beta=119.20 gamma=29.44
Sites, in units of the cell vectors:
K: 0.162 0.162 0.304
K: 0.838 0.838 0.696
Mn: 0.500 0.500 0.500
Cd: 0.155 0.155 0.855
Cd: 0.845 0.845 0.145
O: 0.128 0.128 0.582
O: 0.486 0.486 0.268
O: 0.514 0.514 0.732
O: 0.872 0.872 0.418